No. 1
First-principles (PBE-GGA) data for crystalline La8Os at its relaxed geometry, as listed in the Alexandria database.

Summary:
The density of states at the Fermi level is 1.38 states/eV per atom. The formation energy comes out at 0.14 eV per atom. As for the crystal system: tetragonal. The value obtained for the total energy is -0.4030 Ry per atom. The calculation puts the volume at 31.8 Å³ per atom.

Cell lengths 10.9933, 10.9933, 4.7387 Å; angles 90.00, 90.00, 90.00 degrees
Closest atoms and distances in Å follow each position.
Space group I4/mmm (No. 139)
Symmetry-distinct sites (fractional):
La 0.0000 0.3288 0.0000 x8  11 La 3.50-3.90, 1 Os 3.62
La 0.1460 0.1460 0.5000 x8  6 La 3.21-3.50, 2 Os 3.28
Os 0.0000 0.0000 0.0000 x2  12 La 3.28-3.62

=====

No. 2
First-principles (PBE-GGA) data for crystalline La3Os at its relaxed geometry, as listed in the Alexandria database.

Summary:
The density of states at the Fermi level is 1.14 states/eV per atom. The formation energy comes out at -0.16 eV per atom. As for the crystal system: orthorhombic. The value obtained for the total energy is -0.4895 Ry per atom. The calculation puts the volume at 31.0 Å³ per atom.

Cell lengths 7.4715, 10.0292, 6.6149 Å; angles 90.00, 90.00, 90.00 degrees
Closest atoms and distances in Å follow each position.
Space group Pnma (No. 62)
Symmetry-distinct sites (fractional):
La 0.0494 0.2500 0.1497 x4  2 Os 2.84-2.95
La 0.1704 0.0695 0.6729 x8  2 Os 2.91-3.01
Os 0.1158 0.7500 0.4452 x4  6 La 2.84-3.01

=====

No. 3
First-principles (PBE-GGA) data for crystalline La3Os at its relaxed geometry, as listed in the Alexandria database.

Summary:
The density of states at the Fermi level is 1.08 states/eV per atom. The formation energy comes out at 0.07 eV per atom. As for the crystal system: trigonal. The value obtained for the total energy is -0.4730 Ry per atom. The calculation puts the volume at 34.9 Å³ per atom.

Cell lengths 4.0800, 4.0800, 29.0687 Å; angles 90.00, 90.00, 120.00 degrees
Closest atoms and distances in Å follow each position.
Space group R-3m (No. 166, hexagonal axes)
Symmetry-distinct sites (fractional):
La 0.0000 0.0000 0.0000 x3  12 La 4.03-4.08
La 0.0000 0.0000 0.2208 x6  3 Os 2.83
Os 0.0000 0.0000 0.5000 x3  6 La 2.83

=====

No. 4
First-principles (PBE-GGA) data for crystalline La3Os at its relaxed geometry, as listed in the Alexandria database.

Summary:
The density of states at the Fermi level is 1.13 states/eV per atom. The formation energy comes out at 0.20 eV per atom. As for the crystal system: cubic. The value obtained for the total energy is -0.4634 Ry per atom. The calculation puts the volume at 45.9 Å³ per atom.

Cell lengths 5.6820, 5.6820, 5.6820 Å; angles 90.00, 90.00, 90.00 degrees
Closest atoms and distances in Å follow each position.
Space group Pm-3m (No. 221)
Symmetry-distinct sites (fractional):
La 0.0000 0.0000 0.5000 x3  2 Os 2.84
Os 0.0000 0.0000 0.0000 x1  6 La 2.84

=====

No. 5
First-principles (PBE-GGA) data for crystalline La4Os at its relaxed geometry, as listed in the Alexandria database.

Summary:
The density of states at the Fermi level is 1.23 states/eV per atom. The value obtained for the relative energy among the computed polymorphs is 726 meV/atom. The formation energy comes out at 0.58 eV per atom. As for the crystal system: tetragonal. The value obtained for the total energy is -0.4119 Ry per atom. The calculation puts the volume at 32.4 Å³ per atom.

Cell lengths 3.9557, 3.9557, 20.7336 Å; angles 90.00, 90.00, 90.00 degrees
Closest atoms and distances in Å follow each position.
Space group I4/mmm (No. 139)
Symmetry-distinct sites (fractional):
La 0.0000 0.0000 0.0763 x4  1 La 3.16, 4 Os 3.21
La 0.0000 0.5000 0.2500 x4  4 La 2.80
Os 0.0000 0.0000 0.5000 x2  8 La 3.21

=====

No. 6
First-principles (PBE-GGA) data for crystalline La3Os at its relaxed geometry, as listed in the Alexandria database.

Summary:
The density of states at the Fermi level is 1.01 states/eV per atom. The formation energy comes out at -0.09 eV per atom. As for the crystal system: tetragonal. The value obtained for the total energy is -0.4847 Ry per atom. The calculation puts the volume at 30.2 Å³ per atom.

Cell lengths 11.9928, 11.9928, 6.7233 Å; angles 90.00, 90.00, 90.00 degrees
Closest atoms and distances in Å follow each position.
Space group P4_2/n (No. 86, origin choice 2)
Symmetry-distinct sites (fractional):
La 0.0282 0.6009 0.1829 x8  2 Os 2.84-2.91
La 0.1054 0.6739 0.6847 x8  1 Os 2.90
La 0.1236 0.1886 0.0198 x8  2 Os 2.83-3.13
Os 0.0574 0.1805 0.5000 x8  5 La 2.83-3.13

=====

No. 7
First-principles (PBE-GGA) data for crystalline LaOs3 at its relaxed geometry, as listed in the Alexandria database.

Summary:
The density of states at the Fermi level is 1.59 states/eV per atom. The formation energy comes out at 0.78 eV per atom. As for the crystal system: cubic. The value obtained for the total energy is -0.6520 Ry per atom. The calculation puts the volume at 17.8 Å³ per atom.

Cell lengths 4.1466, 4.1466, 4.1466 Å; angles 90.00, 90.00, 90.00 degrees
Closest atoms and distances in Å follow each position.
Space group Pm-3m (No. 221)
Symmetry-distinct sites (fractional):
La 0.0000 0.0000 0.0000 x1  12 Os 2.93
Os 0.0000 0.5000 0.5000 x3  8 Os 2.93, 4 La 2.93

=====

No. 8
First-principles (PBE-GGA) data for crystalline LaOs7 at its relaxed geometry, as listed in the Alexandria database.

Summary:
The density of states at the Fermi level is 1.07 states/eV per atom. The formation energy comes out at 0.54 eV per atom. As for the crystal system: cubic. The value obtained for the total energy is -0.7276 Ry per atom. The calculation puts the volume at 15.8 Å³ per atom.

Cell lengths 7.9631, 7.9631, 7.9631 Å; angles 90.00, 90.00, 90.00 degrees
Closest atoms and distances in Å follow each position.
Space group Fm-3m (No. 225)
Symmetry-distinct sites (fractional):
La 0.0000 0.0000 0.0000 x4  12 Os 2.82
Os 0.0000 0.0000 0.5000 x4  12 Os 2.82
Os 0.0000 0.2500 0.2500 x24  10 Os 2.82, 2 La 2.82

=====

No. 9
First-principles (PBE-GGA) data for crystalline LaOs3 at its relaxed geometry, as listed in the Alexandria database.

Summary:
The density of states at the Fermi level is 1.35 states/eV per atom. The formation energy comes out at 0.55 eV per atom. As for the crystal system: orthorhombic. The value obtained for the total energy is -0.6691 Ry per atom. The calculation puts the volume at 18.6 Å³ per atom.

Cell lengths 2.8599, 4.4278, 5.8726 Å; angles 90.00, 90.00, 90.00 degrees
Closest atoms and distances in Å follow each position.
Space group Pmm2 (No. 25)
Symmetry-distinct sites (fractional):
La 0.0000 0.0000 0.0000 x1  2 La 2.86, 6 Os 3.03-3.13
Os 0.0000 0.5000 0.3763 x1  8 Os 2.60-2.86
Os 0.5000 0.0000 0.4937 x1  8 Os 2.66-2.86
Os 0.5000 0.5000 0.7459 x1  6 Os 2.60-2.86

=====

No. 10
First-principles (PBE-GGA) data for crystalline La3Os at its relaxed geometry, as listed in the Alexandria database.

Summary:
The density of states at the Fermi level is 1.36 states/eV per atom. The formation energy comes out at 0.24 eV per atom. As for the crystal system: cubic. The value obtained for the total energy is -0.4602 Ry per atom. The calculation puts the volume at 26.0 Å³ per atom.

Cell lengths 7.4642, 7.4642, 7.4642 Å; angles 90.00, 90.00, 90.00 degrees
Closest atoms and distances in Å follow each position.
Space group Fm-3m (No. 225)
Symmetry-distinct sites (fractional):
La 0.0000 0.0000 0.0000 x4  8 La 3.23
La 0.2500 0.2500 0.2500 x8  4 La 3.23, 4 Os 3.23
Os 0.0000 0.0000 0.5000 x4  8 La 3.23

=====

No. 11
First-principles (PBE-GGA) data for crystalline LaOs at its relaxed geometry, as listed in the Alexandria database.

Summary:
The density of states at the Fermi level is 0.58 states/eV per atom. The formation energy comes out at 0.62 eV per atom. As for the crystal system: hexagonal. The value obtained for the total energy is -0.5482 Ry per atom. The calculation puts the volume at 23.2 Å³ per atom.

Cell lengths 3.5033, 3.5033, 8.7440 Å; angles 90.00, 90.00, 120.00 degrees
Closest atoms and distances in Å follow each position.
Space group P6_3/mmc (No. 194)
Symmetry-distinct sites (fractional):
La 0.0000 0.0000 0.0000 x2  6 Os 2.98
Os 0.3333 0.6667 0.2500 x2  6 La 2.98

=====

No. 12
First-principles (PBE-GGA) data for crystalline LaOs3 at its relaxed geometry, as listed in the Alexandria database.

Summary:
The density of states at the Fermi level is 1.32 states/eV per atom. The formation energy comes out at 0.74 eV per atom. As for the crystal system: tetragonal. The value obtained for the total energy is -0.6555 Ry per atom. The calculation puts the volume at 18.2 Å³ per atom.

Cell lengths 4.1302, 4.1302, 17.0376 Å; angles 90.00, 90.00, 90.00 degrees
Closest atoms and distances in Å follow each position.
Space group I4/mmm (No. 139)
Symmetry-distinct sites (fractional):
La 0.0000 0.0000 0.1171 x4  12 Os 2.87-3.06
Os 0.0000 0.0000 0.3514 x4  4 Os 2.69, 4 La 2.97
Os 0.0000 0.5000 0.0000 x4  4 La 2.87, 4 Os 2.92
Os 0.0000 0.5000 0.2500 x4  8 Os 2.69-2.92